! AlReNiH6 | the Open Quantum Materials Database | PBE-GGA | relaxed; values from VASP
! DFT total energy: -39.71 eV per cell
! Calculated volume: 8.00 Å³/atom
&SYSTEM
  ibrav = 0, nat = 9, ntyp = 4
/
ATOMIC_SPECIES
Al 26.98 Al.upf
H 1.01 H.upf
Ni 58.69 Ni.upf
Re 186.21 Re.upf
ATOMIC_POSITIONS crystal
Al 0.000 0.000 0.000
H 0.988 0.512 0.512
H 0.512 0.988 0.512
H 0.988 0.988 0.512
H 0.512 0.512 0.988
H 0.988 0.512 0.988
H 0.512 0.988 0.988
Ni 0.750 0.750 0.750
Re 0.250 0.250 0.250
CELL_PARAMETERS angstrom
-0.686 -4.190 1.941
-3.863 -2.428 -0.992
0.275 -3.858 -2.616

! Y3Al2Ni6H9 | the Open Quantum Materials Database | PBE-GGA | relaxed; values from VASP
! DFT total energy: -197.26 eV per cell
! Calculated volume: 9.65 Å³/atom
&SYSTEM
  ibrav = 0, nat = 40, ntyp = 4
/
ATOMIC_SPECIES
Al 26.98 Al.upf
H 1.01 H.upf
Ni 58.69 Ni.upf
Y 88.91 Y.upf
ATOMIC_POSITIONS crystal
Al 0.500 0.000 0.000
Al 0.000 0.500 0.000
Al 0.000 0.000 0.500
Al 0.500 0.500 0.500
H 0.000 0.000 0.000
H 0.265 0.000 0.000
H 0.735 0.000 0.000
H 0.000 0.265 0.000
H 0.500 0.500 0.000
H 0.000 0.735 0.000
H 0.750 0.500 0.250
H 0.500 0.750 0.250
H 0.000 0.000 0.265
H 0.265 0.265 0.265
H 0.500 0.000 0.500
H 0.750 0.250 0.500
H 0.000 0.500 0.500
H 0.250 0.750 0.500
H 0.000 0.000 0.735
H 0.735 0.735 0.735
H 0.500 0.250 0.750
H 0.250 0.500 0.750
Ni 0.662 0.338 0.000
Ni 0.338 0.662 0.000
Ni 0.662 0.662 0.323
Ni 0.662 0.000 0.338
Ni 0.677 0.338 0.338
Ni 0.000 0.662 0.338
Ni 0.338 0.677 0.338
Ni 0.338 0.000 0.662
Ni 0.662 0.323 0.662
Ni 0.000 0.338 0.662
Ni 0.323 0.662 0.662
Ni 0.338 0.338 0.677
Y 0.269 0.269 0.000
Y 0.731 0.731 0.000
Y 0.269 0.000 0.269
Y 0.000 0.269 0.269
Y 0.731 0.000 0.731
Y 0.000 0.731 0.731
CELL_PARAMETERS angstrom
-3.569 -6.455 -2.947
3.573 -1.845 6.850
-5.416 5.667 1.281

! AlH6OsPb | the Open Quantum Materials Database | PBE-GGA | relaxed; values from VASP
! DFT total energy: -29.23 eV per cell
! Calculated volume: 8.35 Å³/atom
&SYSTEM
  ibrav = 0, nat = 9, ntyp = 4
/
ATOMIC_SPECIES
Al 26.98 Al.upf
H 1.01 H.upf
Os 190.23 Os.upf
Pb 207.20 Pb.upf
ATOMIC_POSITIONS crystal
Al 0.750 0.750 0.750
H 0.645 0.355 0.355
H 0.355 0.645 0.355
H 0.645 0.645 0.355
H 0.355 0.355 0.645
H 0.645 0.355 0.645
H 0.355 0.645 0.645
Os 0.250 0.250 0.250
Pb 0.000 0.000 0.000
CELL_PARAMETERS angstrom
0.000 3.349 3.349
3.349 0.000 3.349
3.349 3.349 0.000

! AlTcH6Pb | the Open Quantum Materials Database | PBE-GGA | relaxed; values from VASP
! DFT total energy: -29.31 eV per cell
! Calculated volume: 8.31 Å³/atom
&SYSTEM
  ibrav = 0, nat = 9, ntyp = 4
/
ATOMIC_SPECIES
Al 26.98 Al.upf
H 1.01 H.upf
Pb 207.20 Pb.upf
Tc 98.00 Tc.upf
ATOMIC_POSITIONS crystal
Al 0.250 0.250 0.250
H 0.652 0.348 0.348
H 0.348 0.652 0.348
H 0.652 0.652 0.348
H 0.348 0.348 0.652
H 0.652 0.348 0.652
H 0.348 0.652 0.652
Pb 0.000 0.000 0.000
Tc 0.750 0.750 0.750
CELL_PARAMETERS angstrom
2.808 -2.610 2.770
-1.709 -3.859 2.134
1.387 -4.295 -1.415

! Al6SiH6Pt | the Open Quantum Materials Database | PBE-GGA | relaxed; values from VASP
! DFT total energy: -52.63 eV per cell
! Calculated volume: 12.75 Å³/atom
&SYSTEM
  ibrav = 0, nat = 14, ntyp = 4
/
ATOMIC_SPECIES
Al 26.98 Al.upf
H 1.01 H.upf
Pt 195.08 Pt.upf
Si 28.09 Si.upf
ATOMIC_POSITIONS crystal
Al 0.478 0.022 0.022
Al 0.022 0.478 0.022
Al 0.478 0.478 0.022
Al 0.022 0.022 0.478
Al 0.478 0.022 0.478
Al 0.022 0.478 0.478
H 0.817 0.183 0.183
H 0.183 0.817 0.183
H 0.817 0.817 0.183
H 0.183 0.183 0.817
H 0.817 0.183 0.817
H 0.183 0.817 0.817
Pt 0.750 0.750 0.750
Si 0.000 0.000 0.000
CELL_PARAMETERS angstrom
-1.315 -1.711 5.939
-5.561 -2.676 1.360
-0.268 -6.123 1.538

! AlTcH6Pt | the Open Quantum Materials Database | PBE-GGA | relaxed; values from VASP
! DFT total energy: -36.16 eV per cell
! Calculated volume: 7.29 Å³/atom
&SYSTEM
  ibrav = 0, nat = 9, ntyp = 4
/
ATOMIC_SPECIES
Al 26.98 Al.upf
H 1.01 H.upf
Pt 195.08 Pt.upf
Tc 98.00 Tc.upf
ATOMIC_POSITIONS crystal
Al 0.000 0.000 0.000
H 0.967 0.533 0.533
H 0.533 0.967 0.533
H 0.967 0.967 0.533
H 0.533 0.533 0.967
H 0.967 0.533 0.967
H 0.533 0.967 0.967
Pt 0.250 0.250 0.250
Tc 0.500 0.500 0.500
CELL_PARAMETERS angstrom
0.000 3.201 3.201
3.201 0.000 3.201
3.201 3.201 0.000

! AlH6PtW | the Open Quantum Materials Database | PBE-GGA | relaxed; values from VASP
! DFT total energy: -37.67 eV per cell
! Calculated volume: 7.26 Å³/atom
&SYSTEM
  ibrav = 0, nat = 9, ntyp = 4
/
ATOMIC_SPECIES
Al 26.98 Al.upf
H 1.01 H.upf
Pt 195.08 Pt.upf
W 183.84 W.upf
ATOMIC_POSITIONS crystal
Al 0.000 0.000 0.000
H 0.957 0.543 0.543
H 0.543 0.957 0.543
H 0.957 0.957 0.543
H 0.543 0.543 0.957
H 0.957 0.543 0.957
H 0.543 0.957 0.957
Pt 0.250 0.250 0.250
W 0.500 0.500 0.500
CELL_PARAMETERS angstrom
0.000 3.197 3.197
3.197 0.000 3.197
3.197 3.197 0.000

! AlReSbH6 | the Open Quantum Materials Database | PBE-GGA | relaxed; values from VASP
! DFT total energy: -33.56 eV per cell
! Calculated volume: 7.95 Å³/atom
&SYSTEM
  ibrav = 0, nat = 9, ntyp = 4
/
ATOMIC_SPECIES
Al 26.98 Al.upf
H 1.01 H.upf
Re 186.21 Re.upf
Sb 121.76 Sb.upf
ATOMIC_POSITIONS crystal
Al 0.500 0.500 0.500
H 0.768 0.232 0.232
H 0.232 0.768 0.232
H 0.768 0.768 0.232
H 0.232 0.232 0.768
H 0.768 0.232 0.768
H 0.232 0.768 0.768
Re 0.250 0.250 0.250
Sb 0.750 0.750 0.750
CELL_PARAMETERS angstrom
0.000 3.296 3.296
3.296 0.000 3.296
3.296 3.296 0.000

! AlTlReH6 | the Open Quantum Materials Database | PBE-GGA | relaxed; values from VASP
! DFT total energy: -31.49 eV per cell
! Calculated volume: 8.38 Å³/atom
&SYSTEM
  ibrav = 0, nat = 9, ntyp = 4
/
ATOMIC_SPECIES
Al 26.98 Al.upf
H 1.01 H.upf
Re 186.21 Re.upf
Tl 204.38 Tl.upf
ATOMIC_POSITIONS crystal
Al 0.750 0.750 0.750
H 0.483 0.017 0.017
H 0.017 0.483 0.017
H 0.483 0.483 0.017
H 0.017 0.017 0.483
H 0.483 0.017 0.483
H 0.017 0.483 0.483
Re 0.500 0.500 0.500
Tl 0.000 0.000 0.000
CELL_PARAMETERS angstrom
0.000 3.353 3.353
3.353 0.000 3.353
3.353 3.353 0.000

! AlZnReH6 | the Open Quantum Materials Database | PBE-GGA | relaxed; values from VASP
! DFT total energy: -31.77 eV per cell
! Calculated volume: 8.36 Å³/atom
&SYSTEM
  ibrav = 0, nat = 9, ntyp = 4
/
ATOMIC_SPECIES
Al 26.98 Al.upf
H 1.01 H.upf
Re 186.21 Re.upf
Zn 65.41 Zn.upf
ATOMIC_POSITIONS crystal
Al 0.000 0.000 0.000
H 0.749 0.251 0.251
H 0.251 0.749 0.251
H 0.749 0.749 0.251
H 0.251 0.251 0.749
H 0.749 0.251 0.749
H 0.251 0.749 0.749
Re 0.250 0.250 0.250
Zn 0.500 0.500 0.500
CELL_PARAMETERS angstrom
4.675 -0.378 0.671
2.019 2.006 3.788
1.679 -2.711 3.504

! AlZnSbH6 | the Open Quantum Materials Database | PBE-GGA | relaxed; values from VASP
! DFT total energy: -24.67 eV per cell
! Calculated volume: 9.23 Å³/atom
&SYSTEM
  ibrav = 0, nat = 9, ntyp = 4
/
ATOMIC_SPECIES
Al 26.98 Al.upf
H 1.01 H.upf
Sb 121.76 Sb.upf
Zn 65.41 Zn.upf
ATOMIC_POSITIONS crystal
Al 0.000 0.000 0.000
H 0.747 0.253 0.253
H 0.747 0.747 0.253
H 0.253 0.747 0.253
H 0.253 0.253 0.747
H 0.253 0.747 0.747
H 0.747 0.253 0.747
Sb 0.750 0.750 0.750
Zn 0.250 0.250 0.250
CELL_PARAMETERS angstrom
0.902 -4.637 -1.293
2.187 -3.041 3.155
-2.543 -3.651 2.045

! AlSiTcH6 | the Open Quantum Materials Database | PBE-GGA | relaxed; values from VASP
! DFT total energy: -34.24 eV per cell
! Calculated volume: 6.78 Å³/atom
&SYSTEM
  ibrav = 0, nat = 9, ntyp = 4
/
ATOMIC_SPECIES
Al 26.98 Al.upf
H 1.01 H.upf
Si 28.09 Si.upf
Tc 98.00 Tc.upf
ATOMIC_POSITIONS crystal
Al 0.000 0.000 0.000
H 0.478 0.022 0.022
H 0.022 0.478 0.022
H 0.478 0.478 0.022
H 0.022 0.022 0.478
H 0.478 0.022 0.478
H 0.022 0.478 0.478
Si 0.750 0.750 0.750
Tc 0.500 0.500 0.500
CELL_PARAMETERS angstrom
2.787 -3.407 -0.375
0.941 -2.484 3.531
-1.523 -4.139 0.258

- The highest DFT total energy belongs to which entry?
  AlZnSbH6

- DFT total energy of number 3 (AlH6OsPb)?
  -29.23 eV per cell

- Which formula does entry 12 have?
  AlSiTcH6